An optimized crystal structure of LiErTcRu, computed with PBE-GGA. Values from VASP.

Calculated values
Uncorrected energy: -25.8 eV for the cell shown
N(E_F): 0.8831 states/eV per atom
E_form: 0.080 eV per atom
Crystal system: cubic

```
&SYSTEM
  ibrav = 0, nat = 4, ntyp = 4
/
ATOMIC_SPECIES
Tc 98.00 Tc.upf
Er 167.26 Er.upf
Ru 101.07 Ru.upf
Li 6.94 Li.upf
CELL_PARAMETERS angstrom
-0.908 0.400 4.404
-3.491 -2.229 1.796
0.733 -3.480 2.781
ATOMIC_POSITIONS crystal
Tc 0.500 0.500 0.500
Er 0.750 0.750 0.750
Ru 0.250 0.250 0.250
Li 0.000 0.000 0.000
```

An optimized crystal structure of LiYErRu, computed with PBE-GGA. Values from VASP.

Calculated values
Uncorrected energy: -23.4 eV for the cell shown
N(E_F): 0.7367 states/eV per atom
E_form: -0.287 eV per atom
Crystal system: cubic

```
&SYSTEM
  ibrav = 0, nat = 4, ntyp = 4
/
ATOMIC_SPECIES
Li 6.94 Li.upf
Ru 101.07 Ru.upf
Er 167.26 Er.upf
Y 88.91 Y.upf
CELL_PARAMETERS angstrom
4.897 0.000 0.000
2.449 4.241 0.000
2.449 1.414 3.998
ATOMIC_POSITIONS crystal
Li 0.250 0.250 0.250
Ru 0.750 0.750 0.750
Er 0.000 0.000 0.000
Y 0.500 0.500 0.500
```

An optimized crystal structure of LiErZnRu, computed with PBE-GGA. Values from VASP.

Calculated values
Uncorrected energy: -17.7 eV for the cell shown
N(E_F): 0.4526 states/eV per atom
E_form: -0.170 eV per atom
Crystal system: cubic

```
&SYSTEM
  ibrav = 0, nat = 4, ntyp = 4
/
ATOMIC_SPECIES
Er 167.26 Er.upf
Ru 101.07 Ru.upf
Zn 65.41 Zn.upf
Li 6.94 Li.upf
CELL_PARAMETERS angstrom
4.588 0.000 0.000
2.294 3.973 0.000
2.294 1.324 3.746
ATOMIC_POSITIONS crystal
Er 0.500 0.500 0.500
Ru 0.750 0.750 0.750
Zn 0.000 0.000 0.000
Li 0.250 0.250 0.250
```

An optimized crystal structure of LiEr6S8, computed with PBE-GGA. Values from VASP.

Calculated values
Uncorrected energy: -92.2 eV for the cell shown
N(E_F): 0.2893 states/eV per atom
Crystal system: cubic

```
&SYSTEM
  ibrav = 0, nat = 15, ntyp = 3
/
ATOMIC_SPECIES
Er 167.26 Er.upf
S 32.06 S.upf
Li 6.94 Li.upf
CELL_PARAMETERS angstrom
6.656 0.000 3.843
2.219 6.275 3.843
0.000 0.000 7.685
ATOMIC_POSITIONS crystal
Er 0.500 0.500 0.000
S 0.754 0.246 0.754
Er 0.500 0.000 0.000
S 0.754 0.754 0.246
S 0.750 0.750 0.750
S 0.246 0.246 0.754
S 0.250 0.250 0.250
S 0.754 0.246 0.246
Er 0.000 0.000 0.500
S 0.246 0.754 0.754
Er 0.000 0.500 0.000
Li 0.000 0.000 0.000
Er 0.500 0.000 0.500
Er 0.000 0.500 0.500
S 0.246 0.754 0.246
```

An optimized crystal structure of LiEr2S, computed with PBE-GGA. Values from VASP.

Calculated values
Uncorrected energy: -18.5 eV for the cell shown
Distance to the lowest polymorph of the same formula: 0.0 meV per atom
N(E_F): 0.8404 states/eV per atom
Crystal system: trigonal

```
&SYSTEM
  ibrav = 0, nat = 4, ntyp = 3
/
ATOMIC_SPECIES
Er 167.26 Er.upf
Li 6.94 Li.upf
S 32.06 S.upf
CELL_PARAMETERS angstrom
-2.244 2.664 1.184
-2.166 -0.581 2.916
4.751 3.621 6.570
ATOMIC_POSITIONS crystal
Er 0.063 0.063 0.811
Li 0.500 0.500 0.501
Er 0.270 0.270 0.189
S 0.667 0.667 0.999
```

An optimized crystal structure of Li3ErS3, computed with PBE-GGA. Values from VASP.

Calculated values
Uncorrected energy: -68.0 eV for the cell shown
N(E_F): 0.0000 states/eV per atom
Crystal system: trigonal

```
&SYSTEM
  ibrav = 0, nat = 14, ntyp = 3
/
ATOMIC_SPECIES
Li 6.94 Li.upf
S 32.06 S.upf
Er 167.26 Er.upf
CELL_PARAMETERS angstrom
6.213 0.000 3.163
2.301 5.771 3.163
0.062 0.042 7.561
ATOMIC_POSITIONS crystal
Li 0.130 0.414 0.638
S 0.450 0.078 0.752
S 0.720 0.450 0.752
S 0.078 0.720 0.752
Li 0.586 0.183 0.362
S 0.550 0.922 0.248
Li 0.183 0.870 0.362
Li 0.870 0.586 0.362
S 0.280 0.550 0.248
Er 0.334 0.334 0.999
Li 0.414 0.817 0.638
Er 0.666 0.666 0.001
S 0.922 0.280 0.248
Li 0.817 0.130 0.638
```

An optimized crystal structure of LiEr2S, computed with PBE-GGA. Values from VASP.

Calculated values
Uncorrected energy: -18.0 eV for the cell shown
Distance to the lowest polymorph of the same formula: 124.5 meV per atom
N(E_F): 0.7791 states/eV per atom
Crystal system: trigonal

```
&SYSTEM
  ibrav = 0, nat = 4, ntyp = 3
/
ATOMIC_SPECIES
Li 6.94 Li.upf
Er 167.26 Er.upf
S 32.06 S.upf
CELL_PARAMETERS angstrom
-3.114 -1.693 -0.729
-1.886 -1.548 2.672
-6.502 7.215 2.039
ATOMIC_POSITIONS crystal
Li 0.000 0.000 0.000
Er 0.110 0.110 0.669
Er 0.890 0.890 0.331
S 0.500 0.500 0.500
```

An optimized crystal structure of LiEr5S6, computed with PBE-GGA. Values from VASP.

Calculated values
Uncorrected energy: -72.8 eV for the cell shown
N(E_F): 0.3405 states/eV per atom
Crystal system: monoclinic

```
&SYSTEM
  ibrav = 0, nat = 12, ntyp = 3
/
ATOMIC_SPECIES
Er 167.26 Er.upf
S 32.06 S.upf
Li 6.94 Li.upf
CELL_PARAMETERS angstrom
-5.852 -1.952 2.540
0.507 -0.481 6.620
-1.356 5.267 3.834
ATOMIC_POSITIONS crystal
Er 0.000 0.335 0.331
Er 0.500 0.165 0.669
S 0.243 0.243 0.000
Li 0.000 0.000 0.000
Er 0.500 0.500 0.000
Er 0.500 0.835 0.331
S 0.753 0.409 0.673
S 0.247 0.591 0.327
S 0.247 0.918 0.673
Er 0.000 0.665 0.669
S 0.757 0.757 0.000
S 0.753 0.082 0.327
```

An optimized crystal structure of Li5ErS4, computed with PBE-GGA. Values from VASP.

Calculated values
Uncorrected energy: -45.7 eV for the cell shown
N(E_F): 0.0000 states/eV per atom
Crystal system: orthorhombic

```
&SYSTEM
  ibrav = 0, nat = 10, ntyp = 3
/
ATOMIC_SPECIES
S 32.06 S.upf
Li 6.94 Li.upf
Er 167.26 Er.upf
CELL_PARAMETERS angstrom
-2.449 0.938 2.872
-3.718 -5.883 -1.248
6.925 -0.884 3.559
ATOMIC_POSITIONS crystal
S 0.000 0.737 0.000
Li 0.178 0.391 0.356
S 0.708 0.208 0.415
Li 0.178 0.966 0.356
S 0.000 0.263 0.000
Li 0.822 0.034 0.644
Li 0.500 0.500 0.000
Li 0.822 0.609 0.644
Er 0.500 0.000 0.000
S 0.292 0.792 0.585
```

An optimized crystal structure of LiEr5S8, computed with PBE-GGA. Values from VASP.

Calculated values
Uncorrected energy: -85.4 eV for the cell shown
N(E_F): 0.0000 states/eV per atom
Crystal system: cubic

```
&SYSTEM
  ibrav = 0, nat = 14, ntyp = 3
/
ATOMIC_SPECIES
S 32.06 S.upf
Er 167.26 Er.upf
Li 6.94 Li.upf
CELL_PARAMETERS angstrom
6.876 0.000 3.970
2.292 6.483 3.970
0.000 0.000 7.940
ATOMIC_POSITIONS crystal
S 0.867 0.400 0.867
S 0.382 0.855 0.382
Er 0.620 0.620 0.139
Er 0.000 0.000 0.000
Er 0.620 0.620 0.620
S 0.382 0.382 0.855
S 0.400 0.867 0.867
S 0.855 0.382 0.382
Er 0.620 0.139 0.620
S 0.867 0.867 0.867
Li 0.250 0.250 0.250
Er 0.139 0.620 0.620
S 0.382 0.382 0.382
S 0.867 0.867 0.400
```

An optimized crystal structure of Li8ErS6, computed with PBE-GGA. Values from VASP.

Calculated values
Uncorrected energy: -64.9 eV for the cell shown
N(E_F): 0.6483 states/eV per atom
Crystal system: trigonal

```
&SYSTEM
  ibrav = 0, nat = 15, ntyp = 3
/
ATOMIC_SPECIES
Li 6.94 Li.upf
S 32.06 S.upf
Er 167.26 Er.upf
CELL_PARAMETERS angstrom
-0.736 6.795 0.472
-2.446 2.789 5.760
4.851 3.677 4.354
ATOMIC_POSITIONS crystal
Li 0.470 0.780 0.634
S 0.404 0.085 0.757
Li 0.336 0.336 0.991
S 0.085 0.753 0.757
Li 0.664 0.664 0.009
Li 0.530 0.220 0.366
Li 0.780 0.115 0.634
Li 0.220 0.885 0.366
S 0.247 0.596 0.243
Li 0.115 0.470 0.634
S 0.596 0.915 0.243
S 0.915 0.247 0.243
S 0.753 0.404 0.757
Li 0.885 0.530 0.366
Er 0.000 0.000 0.000
```

An optimized crystal structure of LiEr4S4, computed with PBE-GGA. Values from VASP.

Calculated values
Uncorrected energy: -51.6 eV for the cell shown
N(E_F): 0.3823 states/eV per atom
Crystal system: monoclinic

```
&SYSTEM
  ibrav = 0, nat = 9, ntyp = 3
/
ATOMIC_SPECIES
Li 6.94 Li.upf
S 32.06 S.upf
Er 167.26 Er.upf
CELL_PARAMETERS angstrom
-4.321 -2.168 2.410
1.352 -5.205 3.795
-1.353 2.548 5.919
ATOMIC_POSITIONS crystal
Li 0.000 0.000 0.000
S 0.707 0.199 0.388
Er 0.201 0.199 0.399
Er 0.599 0.603 0.198
S 0.905 0.388 0.802
Er 0.799 0.801 0.601
S 0.293 0.801 0.612
Er 0.401 0.397 0.802
S 0.095 0.612 0.198
```